1.
First-principles (PBE) data for an optimized crystal structure of LiUAl4, as listed in Alexandria via LeMat-Bulk.

abc: 5.462 5.462 5.462
angles: 60.00 60.00 60.00
Atoms (fractional coordinates):
Li (0.250, 0.250, 0.250)
U (0.000, 0.000, 0.000)
Al (0.626, 0.626, 0.626)
Al (0.123, 0.626, 0.626)
Al (0.626, 0.123, 0.626)
Al (0.626, 0.626, 0.123)

=====

2.
First-principles (PBE) data for an optimized crystal structure of LiAl6V, as listed in Alexandria via LeMat-Bulk.

abc: 7.109 7.099 5.044
angles: 45.19 45.14 59.99
Atoms (fractional coordinates):
Al (0.997, 0.500, 0.747)
Al (0.500, 0.244, 0.252)
Al (0.756, 0.997, 0.747)
Al (0.003, 0.500, 0.253)
Al (0.244, 0.003, 0.253)
Al (0.500, 0.756, 0.748)
V (0.000, 0.000, 0.000)
Li (0.500, 0.500, 0.500)

=====

3.
First-principles (PBE) data for an optimized crystal structure of Li2AlV, as listed in Alexandria via LeMat-Bulk.

abc: 2.654 2.654 10.146
angles: 82.49 82.49 60.00
Atoms (fractional coordinates):
Al (0.500, 0.500, 0.500)
Li (0.087, 0.087, 0.740)
Li (0.913, 0.913, 0.260)
V (0.000, 0.000, 0.000)

=====

4.
First-principles (PBE) data for an optimized crystal structure of LiAl2V, as listed in Alexandria via LeMat-Bulk.

abc: 6.727 6.727 5.462
angles: 51.99 51.99 90.00
Atoms (fractional coordinates):
Al (0.375, 0.397, 0.750)
Al (0.875, 0.853, 0.750)
Al (0.603, 0.125, 0.250)
Al (0.147, 0.625, 0.250)
V (0.750, 0.250, 0.500)
V (0.000, 0.000, 0.000)
Li (0.500, 0.500, 0.000)
Li (0.250, 0.750, 0.500)

=====

5.
First-principles (PBE) data for an optimized crystal structure of Li2Al2V, as listed in Alexandria via LeMat-Bulk.

abc: 7.300 7.300 2.782
angles: 90.00 90.00 90.00
Atoms (fractional coordinates):
V (0.000, 0.000, 0.000)
V (0.500, 0.500, 0.000)
Al (0.362, 0.862, 0.000)
Al (0.138, 0.362, 0.000)
Al (0.638, 0.138, 0.000)
Al (0.862, 0.638, 0.000)
Li (0.338, 0.162, 0.500)
Li (0.838, 0.338, 0.500)
Li (0.162, 0.662, 0.500)
Li (0.662, 0.838, 0.500)

=====

6.
First-principles (PBE) data for an optimized crystal structure of LiAl2V, as listed in Alexandria via LeMat-Bulk.

abc: 2.790 2.790 9.248
angles: 81.32 81.32 60.00
Atoms (fractional coordinates):
Li (0.500, 0.500, 0.500)
Al (0.746, 0.746, 0.762)
Al (0.254, 0.254, 0.238)
V (0.000, 0.000, 0.000)

=====

no.,E_form (eV per atom)
1,0.02
2,-0.06
3,0.27
4,0.32
5,0.17
6,-0.08